VASP calculation (PBE-GGA) on a relaxed Ti3BeTl crystal. Values from VASP.

Quantum ESPRESSO input file:
```
&SYSTEM
  ibrav = 0, nat = 5, ntyp = 3
/
ATOMIC_SPECIES
Be 9.01 Be.upf
Tl 204.38 Tl.upf
Ti 47.87 Ti.upf
CELL_PARAMETERS angstrom
-2.247 -2.209 -3.934
1.272 -4.526 1.815
-4.328 -0.184 2.576
ATOMIC_POSITIONS angstrom
Be -2.651 -3.460 0.228
Tl 0.000 0.000 0.000
Ti 0.636 -2.263 0.907
Ti -2.164 -0.092 1.288
Ti -1.123 -1.104 -1.967
```

Results
Its formation energy is 1.646 eV per atom. The total magnetization comes out at 1.0 μB per formula unit. As for the space-group type: Pm-3m, No. 221. For the density of states at the Fermi level, the calculation gives 8.81 states/eV/f.u.

=====

VASP calculation (PBE-GGA) on a relaxed TiBeTl2 crystal. Values from VASP.

Quantum ESPRESSO input file:
```
&SYSTEM
  ibrav = 0, nat = 4, ntyp = 3
/
ATOMIC_SPECIES
Be 9.01 Be.upf
Tl 204.38 Tl.upf
Ti 47.87 Ti.upf
CELL_PARAMETERS angstrom
-2.236 -4.086 1.333
-4.338 -1.103 -1.854
-0.432 -3.662 -3.143
ATOMIC_POSITIONS angstrom
Be 0.000 0.000 0.000
Tl -1.752 -2.213 -0.916
Tl -5.255 -6.638 -2.747
Ti -3.503 -4.425 -1.832
```

Results
Its formation energy is 0.645 eV per atom. The total magnetization comes out at 2.0 μB per formula unit. As for the space-group type: Fm-3m, No. 225. For the density of states at the Fermi level, the calculation gives 5.13 states/eV/f.u.

=====

VASP calculation (PBE-GGA) on a relaxed Ti2BeTl crystal. Values from VASP.

Quantum ESPRESSO input file:
```
&SYSTEM
  ibrav = 0, nat = 4, ntyp = 3
/
ATOMIC_SPECIES
Be 9.01 Be.upf
Tl 204.38 Tl.upf
Ti 47.87 Ti.upf
CELL_PARAMETERS angstrom
0.000 3.227 3.227
3.227 0.000 3.227
3.227 3.227 0.000
ATOMIC_POSITIONS angstrom
Be 0.000 0.000 0.000
Tl 3.227 3.227 3.227
Ti 1.613 1.613 1.613
Ti 4.840 4.840 4.840
```

Results
Its formation energy is 0.239 eV per atom. The total magnetization comes out at 0.6 μB per formula unit. As for the space-group type: Fm-3m, No. 225. For the density of states at the Fermi level, the calculation gives 4.36 states/eV/f.u.

=====

VASP calculation (PBE-GGA) on a relaxed TmTiBe crystal. Values from VASP.

Quantum ESPRESSO input file:
```
&SYSTEM
  ibrav = 0, nat = 6, ntyp = 3
/
ATOMIC_SPECIES
Tm 168.93 Tm.upf
Be 9.01 Be.upf
Ti 47.87 Ti.upf
CELL_PARAMETERS angstrom
-2.686 3.235 -0.159
-2.563 -2.249 -2.465
-2.974 -2.218 5.115
ATOMIC_POSITIONS angstrom
Tm -3.829 -3.024 3.149
Tm -1.769 1.299 0.654
Be -2.144 -1.767 0.250
Be -3.455 0.043 3.553
Ti -4.111 -0.616 1.246
Ti -1.487 -1.109 2.558
```

Results
Its formation energy is 0.025 eV per atom. The total magnetization comes out at 0.0 μB per formula unit. As for the space-group type: P4/nmm, No. 129. For the density of states at the Fermi level, the calculation gives 2.45 states/eV/f.u.

=====

What are the E_tot values for these records? In order: -4.3092, -3.4434, -5.2312, -5.3392 eV/atom.